An optimized crystal structure of MgSi2P, computed with PBE.

## Properties
DOS(E_F) (states/eV per cell): 1.2
Electronic total energy (eV per atom): -4.2868
Crystal system: monoclinic

Unit cell a=9.3968 b=3.3250 c=4.5717 alpha=90.00 beta=107.08 gamma=90.00
Space group Cm (No. 8)
Inequivalent atoms, fractional coordinates:
Mg  0.0000  0.0000  0.0000 [2 per cell]
Si  0.0165  0.5000  0.5049 [2 per cell]
Si  0.2877  0.5000  0.3765 [2 per cell]
P  0.2192  0.0000  0.6908 [2 per cell]